Entry 1:
Crystalline AcSnPS at its relaxed geometry, computed with PBE-GGA.

Output
total DFT energy (no corrections) = -43.12 eV for the cell shown
space-group type = P4/nmm (129)

The structure in CIF format:
```
data_AcSnPS
_chemical_formula_sum 'Ac2 Sn2 P2 S2'
_cell_length_a 5.262
_cell_length_b 5.262
_cell_length_c 8.132
_cell_angle_alpha 90.00
_cell_angle_beta 90.00
_cell_angle_gamma 90.00
_space_group_name_H-M_alt 'P 1'
_space_group_IT_number 1
loop_
_space_group_symop_operation_xyz
'x,y,z'
loop_
_atom_site_label
_atom_site_fract_x
_atom_site_fract_y
_atom_site_fract_z
Ac1 0.500 0.000 0.666
Ac2 0.000 0.500 0.334
Sn1 0.500 0.500 0.000
Sn2 0.000 0.000 0.000
P1 0.000 0.500 0.914
P2 0.500 0.000 0.086
S1 0.000 0.000 0.500
S2 0.500 0.500 0.500
```

***

Entry 2:
Crystalline AcSnP2S8 at its relaxed geometry, computed with PBE-GGA.

Output
total DFT energy (no corrections) = -59.42 eV for the cell shown
space-group type = P-3 (147)

The structure in CIF format:
```
data_AcSnP2S8
_chemical_formula_sum 'Ac1 Sn1 P2 S8'
_cell_length_a 6.007
_cell_length_b 6.007
_cell_length_c 9.100
_cell_angle_alpha 90.00
_cell_angle_beta 90.00
_cell_angle_gamma 120.00
_space_group_name_H-M_alt 'P 1'
_space_group_IT_number 1
loop_
_space_group_symop_operation_xyz
'x,y,z'
loop_
_atom_site_label
_atom_site_fract_x
_atom_site_fract_y
_atom_site_fract_z
Ac1 0.000 0.000 0.000
Sn1 0.000 0.000 0.500
P1 0.667 0.333 0.230
P2 0.333 0.667 0.770
S1 0.333 0.667 0.994
S2 0.331 0.324 0.290
S3 0.676 0.008 0.290
S4 0.667 0.333 0.006
S5 0.324 0.992 0.710
S6 0.669 0.676 0.710
S7 0.008 0.331 0.710
S8 0.992 0.669 0.290
```

***

Entry 3:
Crystalline Ac6SnP2S3 at its relaxed geometry, computed with PBE-GGA.

Output
total DFT energy (no corrections) = -71.21 eV for the cell shown
space-group type = C2/m (12)

The structure in CIF format:
```
data_Ac6SnP2S3
_chemical_formula_sum 'Ac6 Sn1 P2 S3'
_cell_length_a 4.469
_cell_length_b 8.885
_cell_length_c 9.948
_cell_angle_alpha 102.19
_cell_angle_beta 102.98
_cell_angle_gamma 90.00
_space_group_name_H-M_alt 'P 1'
_space_group_IT_number 1
loop_
_space_group_symop_operation_xyz
'x,y,z'
loop_
_atom_site_label
_atom_site_fract_x
_atom_site_fract_y
_atom_site_fract_z
Ac1 0.329 0.908 0.658
Ac2 0.669 0.579 0.338
Ac3 0.671 0.092 0.342
Ac4 0.002 0.264 0.005
Ac5 0.998 0.736 0.995
Ac6 0.331 0.421 0.662
Sn1 0.500 0.000 0.000
P1 0.831 0.663 0.662
P2 0.169 0.337 0.338
S1 0.500 0.500 0.000
S2 0.834 0.169 0.667
S3 0.166 0.831 0.333
```

***

Entry 4:
Crystalline SrAcP2S8 at its relaxed geometry, computed with PBE-GGA.

Output
total DFT energy (no corrections) = -59.52 eV for the cell shown
space-group type = P-3 (147)

The structure in CIF format:
```
data_SrAcP2S8
_chemical_formula_sum 'Sr1 Ac1 P2 S8'
_cell_length_a 6.058
_cell_length_b 6.058
_cell_length_c 9.717
_cell_angle_alpha 90.00
_cell_angle_beta 90.00
_cell_angle_gamma 120.00
_space_group_name_H-M_alt 'P 1'
_space_group_IT_number 1
loop_
_space_group_symop_operation_xyz
'x,y,z'
loop_
_atom_site_label
_atom_site_fract_x
_atom_site_fract_y
_atom_site_fract_z
Sr1 0.000 0.000 0.000
Ac1 0.000 0.000 0.500
P1 0.667 0.333 0.225
P2 0.333 0.667 0.775
S1 0.333 0.667 0.984
S2 0.355 0.357 0.287
S3 0.643 0.998 0.287
S4 0.667 0.333 0.016
S5 0.357 0.002 0.713
S6 0.645 0.643 0.713
S7 0.998 0.355 0.713
S8 0.002 0.645 0.287
```

***

Entry 5:
Crystalline Ac6Te3P2S at its relaxed geometry, computed with PBE-GGA.

Output
total DFT energy (no corrections) = -68.61 eV for the cell shown
space-group type = C2/m (12)

The structure in CIF format:
```
data_Ac6Te3P2S
_chemical_formula_sum 'Ac6 Te3 P2 S1'
_cell_length_a 4.500
_cell_length_b 9.277
_cell_length_c 10.311
_cell_angle_alpha 105.46
_cell_angle_beta 102.60
_cell_angle_gamma 90.00
_space_group_name_H-M_alt 'P 1'
_space_group_IT_number 1
loop_
_space_group_symop_operation_xyz
'x,y,z'
loop_
_atom_site_label
_atom_site_fract_x
_atom_site_fract_y
_atom_site_fract_z
Ac1 0.340 0.897 0.680
Ac2 0.675 0.564 0.349
Ac3 0.660 0.103 0.320
Ac4 0.008 0.232 0.017
Ac5 0.992 0.768 0.983
Ac6 0.325 0.436 0.651
Te1 0.500 0.500 0.000
Te2 0.834 0.167 0.667
Te3 0.166 0.833 0.333
P1 0.834 0.668 0.668
P2 0.166 0.332 0.332
S1 0.500 0.000 0.000
```

***

Entry 6:
Crystalline Ac6TeP2S3 at its relaxed geometry, computed with PBE-GGA.

Output
total DFT energy (no corrections) = -72.20 eV for the cell shown
space-group type = C2/m (12)

The structure in CIF format:
```
data_Ac6TeP2S3
_chemical_formula_sum 'Ac6 Te1 P2 S3'
_cell_length_a 4.415
_cell_length_b 8.897
_cell_length_c 9.866
_cell_angle_alpha 102.19
_cell_angle_beta 102.93
_cell_angle_gamma 90.00
_space_group_name_H-M_alt 'P 1'
_space_group_IT_number 1
loop_
_space_group_symop_operation_xyz
'x,y,z'
loop_
_atom_site_label
_atom_site_fract_x
_atom_site_fract_y
_atom_site_fract_z
Ac1 0.325 0.904 0.650
Ac2 0.669 0.579 0.337
Ac3 0.675 0.096 0.350
Ac4 0.003 0.273 0.006
Ac5 0.997 0.727 0.994
Ac6 0.331 0.421 0.663
Te1 0.500 0.000 0.000
P1 0.833 0.667 0.666
P2 0.167 0.333 0.334
S1 0.500 0.500 0.000
S2 0.837 0.166 0.673
S3 0.163 0.834 0.327
```

***

Entry 7:
Crystalline AcTeP2S8 at its relaxed geometry, computed with PBE-GGA.

Output
total DFT energy (no corrections) = -55.51 eV for the cell shown
space-group type = P-3m1 (164)

The structure in CIF format:
```
data_AcTeP2S8
_chemical_formula_sum 'Ac1 Te1 P2 S8'
_cell_length_a 6.783
_cell_length_b 6.783
_cell_length_c 8.693
_cell_angle_alpha 90.00
_cell_angle_beta 90.00
_cell_angle_gamma 120.00
_space_group_name_H-M_alt 'P 1'
_space_group_IT_number 1
loop_
_space_group_symop_operation_xyz
'x,y,z'
loop_
_atom_site_label
_atom_site_fract_x
_atom_site_fract_y
_atom_site_fract_z
Ac1 0.000 0.000 0.500
Te1 0.000 0.000 0.000
P1 0.333 0.667 0.702
P2 0.667 0.333 0.298
S1 0.164 0.328 0.779
S2 0.164 0.836 0.779
S3 0.672 0.836 0.779
S4 0.328 0.164 0.221
S5 0.667 0.333 0.528
S6 0.333 0.667 0.472
S7 0.836 0.672 0.221
S8 0.836 0.164 0.221
```

***

Entry 8:
Crystalline Ac6TlP2S3 at its relaxed geometry, computed with PBE-GGA.

Output
total DFT energy (no corrections) = -68.51 eV for the cell shown
space-group type = C2/m (12)

The structure in CIF format:
```
data_Ac6TlP2S3
_chemical_formula_sum 'Ac6 Tl1 P2 S3'
_cell_length_a 4.418
_cell_length_b 8.964
_cell_length_c 9.946
_cell_angle_alpha 102.15
_cell_angle_beta 102.83
_cell_angle_gamma 90.00
_space_group_name_H-M_alt 'P 1'
_space_group_IT_number 1
loop_
_space_group_symop_operation_xyz
'x,y,z'
loop_
_atom_site_label
_atom_site_fract_x
_atom_site_fract_y
_atom_site_fract_z
Ac1 0.328 0.907 0.656
Ac2 0.669 0.579 0.337
Ac3 0.672 0.093 0.344
Ac4 0.002 0.268 0.005
Ac5 0.998 0.732 0.995
Ac6 0.331 0.421 0.663
Tl1 0.500 0.000 0.000
P1 0.831 0.663 0.662
P2 0.169 0.337 0.338
S1 0.500 0.500 0.000
S2 0.833 0.169 0.665
S3 0.167 0.831 0.335
```

***

Raw formation energy
In order: -977.9; -622.1; -1613.1; -824.4; -1632.3; -1767.5; -368.4; -1524.6
Unit: meV per atom